No. 1
VASP calculation (GGA-PBE) on a relaxed CoHg crystal.

abc: 2.9383 4.6114 4.8559
angles: 90.00 90.00 90.00
Closest atoms and distances in Å follow each position.
Fractional positions:
Co: 0.0000 0.0000 0.9955  6 Hg 2.68-3.00, 6 Co 2.84-2.94
Co: 0.5000 0.5000 0.8378  6 Hg 2.68-3.00, 6 Co 2.84-2.94
Hg: 0.5000 0.0000 0.5333  6 Co 2.68-3.00, 6 Hg 2.94-2.96
Hg: 0.0000 0.5000 0.3001  6 Co 2.68-3.00, 6 Hg 2.94-2.96

Calculated values
Its calculated formation energy is 0.575 eV per atom. As for the crystal system: orthorhombic. For the raw total energy, the calculation gives -3.129 eV/atom. The volume is 16.4 A^3/atom. The size of the total moment comes out at 1.5 μB/f.u.

---

No. 2
VASP calculation (GGA-PBE) on a relaxed CoHg crystal.

abc: 4.6413 4.6413 4.6413
angles: 37.33 37.33 37.33
Closest atoms and distances in Å follow each position.
Fractional positions:
Hg: 0.5000 0.5000 0.5000  6 Co 2.76, 6 Hg 2.97
Co: 0.0000 0.0000 0.0000  6 Hg 2.76, 6 Co 2.97

Calculated values
Its calculated formation energy is 0.586 eV per atom. As for the crystal system: trigonal. For the raw total energy, the calculation gives -3.118 eV/atom. The volume is 16.5 A^3/atom. The size of the total moment comes out at 1.5 μB/f.u.

---

No. 3
VASP calculation (GGA-PBE) on a relaxed CoHg crystal.

abc: 9.5676 9.5676 9.5676
angles: 17.51 17.51 17.51
Closest atoms and distances in Å follow each position.
Fractional positions:
Hg: 0.5136 0.5136 0.5136  3 Co 2.86, 6 Hg 2.91
Hg: 0.7364 0.7364 0.7364  3 Co 2.86, 6 Hg 2.91
Co: 0.9878 0.9878 0.9878  3 Co 2.37
Co: 0.2622 0.2622 0.2622  3 Co 2.37

Calculated values
Its calculated formation energy is 0.427 eV per atom. As for the crystal system: trigonal. For the raw total energy, the calculation gives -3.277 eV/atom. The volume is 17.3 A^3/atom. The size of the total moment comes out at 1.7 μB/f.u.

---

No. 4
VASP calculation (GGA-PBE) on a relaxed CoHg2 crystal.

abc: 5.6156 5.6156 5.6156
angles: 60.00 60.00 60.00
Closest atoms and distances in Å follow each position.
Fractional positions:
Hg: 0.6250 0.1250 0.1250  6 Hg 2.81
Hg: 0.1250 0.1250 0.1250  6 Hg 2.81
Hg: 0.1250 0.1250 0.6250  6 Hg 2.81
Hg: 0.1250 0.6250 0.1250  6 Hg 2.81
Co: 0.7500 0.7500 0.7500  12 Hg 3.29, 4 Co 3.44
Co: 0.5000 0.5000 0.5000  12 Hg 3.29, 4 Co 3.44

Calculated values
Its calculated formation energy is 0.970 eV per atom. As for the crystal system: cubic. For the raw total energy, the calculation gives -1.600 eV/atom. The volume is 20.9 A^3/atom. The size of the total moment comes out at 1.7 μB/f.u.

---

No. 5
VASP calculation (GGA-PBE) on a relaxed CoHg crystal.

abc: 3.2995 3.2995 6.6857
angles: 90.00 90.00 90.00
Closest atoms and distances in Å follow each position.
Fractional positions:
Co: 0.7500 0.2500 0.0000  4 Co 2.33
Co: 0.2500 0.7500 0.0000  4 Co 2.33
Hg: 0.7500 0.7500 0.6611  4 Co 2.80
Hg: 0.2500 0.2500 0.3389  4 Co 2.80

Calculated values
Its calculated formation energy is 0.455 eV per atom. As for the crystal system: tetragonal. For the raw total energy, the calculation gives -3.249 eV/atom. The volume is 18.2 A^3/atom. The size of the total moment comes out at 1.8 μB/f.u.

---

No. 6
VASP calculation (GGA-PBE) on a relaxed CoHg2 crystal.

abc: 3.1103 3.1103 6.8211
angles: 90.00 90.00 120.00
Closest atoms and distances in Å follow each position.
Fractional positions:
Hg: 0.3333 0.6667 0.6976  3 Co 2.73
Hg: 0.6667 0.3333 0.3024  3 Co 2.73
Co: 0.0000 0.0000 0.0000  6 Hg 2.73

Calculated values
Its calculated formation energy is 0.482 eV per atom. As for the crystal system: trigonal. For the raw total energy, the calculation gives -2.088 eV/atom. The volume is 19.0 A^3/atom. The size of the total moment comes out at 1.5 μB/f.u.

---

No. 7
VASP calculation (GGA-PBE) on a relaxed CoHg3 crystal.

abc: 5.4872 5.4872 5.4872
angles: 90.00 90.00 90.00
Closest atoms and distances in Å follow each position.
Fractional positions:
Hg: 0.0000 0.2500 0.5000  2 Hg 2.74, 4 Co 3.07
Hg: 0.5000 0.0000 0.2500  2 Hg 2.74, 4 Co 3.07
Hg: 0.5000 0.0000 0.7500  2 Hg 2.74, 4 Co 3.07
Hg: 0.0000 0.7500 0.5000  2 Hg 2.74, 4 Co 3.07
Hg: 0.2500 0.5000 0.0000  2 Hg 2.74, 4 Co 3.07
Hg: 0.7500 0.5000 0.0000  2 Hg 2.74, 4 Co 3.07
Co: 0.5000 0.5000 0.5000  12 Hg 3.07
Co: 0.0000 0.0000 0.0000  12 Hg 3.07

Calculated values
The energy above the most stable polymorph in this dataset is 291 meV per atom. Its calculated formation energy is 0.570 eV per atom. As for the crystal system: cubic. For the raw total energy, the calculation gives -1.433 eV/atom. The volume is 20.7 A^3/atom. The size of the total moment comes out at 1.8 μB/f.u.

---

No. 8
VASP calculation (GGA-PBE) on a relaxed CoHg2 crystal.

abc: 7.3896 7.3896 3.5480
angles: 90.00 90.00 120.00
Closest atoms and distances in Å follow each position.
Fractional positions:
Hg: 0.7309 0.7309 0.0000  4 Co 2.67-2.73
Hg: 0.5973 0.0000 0.5000  5 Co 2.87-2.98, 6 Hg 3.00-3.17
Hg: 0.0000 0.2691 0.0000  4 Co 2.67-2.73
Hg: 0.2691 0.0000 0.0000  4 Co 2.67-2.73
Hg: 0.4027 0.4027 0.5000  5 Co 2.87-2.98, 6 Hg 3.00-3.17
Hg: 0.0000 0.5973 0.5000  5 Co 2.87-2.98, 6 Hg 3.00-3.17
Co: 0.3333 0.6667 0.0000  9 Hg 2.73-2.87
Co: 0.6667 0.3333 0.0000  9 Hg 2.73-2.87
Co: 0.0000 0.0000 0.5000  9 Hg 2.67-2.98

Calculated values
Its calculated formation energy is 0.515 eV per atom. As for the crystal system: hexagonal. For the raw total energy, the calculation gives -2.054 eV/atom. The volume is 18.6 A^3/atom. The size of the total moment comes out at 1.1 μB/f.u.

---

No. 9
VASP calculation (GGA-PBE) on a relaxed Co3Hg crystal.

abc: 2.8693 2.8720 6.5721
angles: 90.00 90.00 90.00
Closest atoms and distances in Å follow each position.
Fractional positions:
Hg: 0.5000 0.5000 0.2500  8 Co 2.83, 4 Hg 2.87
Co: 0.0000 0.0000 0.9508  5 Co 2.42-2.64
Co: 0.0000 0.0000 0.5492  5 Co 2.42-2.64
Co: 0.5000 0.5000 0.7500  8 Co 2.42

Calculated values
Its calculated formation energy is 0.304 eV per atom. As for the crystal system: tetragonal. For the raw total energy, the calculation gives -5.101 eV/atom. The volume is 13.5 A^3/atom. The size of the total moment comes out at 4.9 μB/f.u.

---

No. 10
VASP calculation (GGA-PBE) on a relaxed Ho3Co2Hg crystal.

abc: 3.9473 7.4573 8.9788
angles: 90.00 90.00 90.00
Closest atoms and distances in Å follow each position.
Fractional positions:
Ho: 0.5000 0.6634 0.8600  3 Co 2.72-2.75, 4 Hg 3.04-3.05
Ho: 0.0000 0.3362 0.4277  6 Co 2.79-2.92
Ho: 0.5000 0.2114 0.7329  4 Co 2.83-2.96
Ho: 0.5000 0.7114 0.2671  4 Co 2.83-2.96
Ho: 0.0000 0.8362 0.5723  6 Co 2.79-2.92
Ho: 0.5000 0.1634 0.1400  3 Co 2.72-2.75, 4 Hg 3.04-3.05
Co: 0.5000 0.5510 0.5686  2 Co 2.42
Co: 0.0000 0.9831 0.2860  2 Co 2.42
Co: 0.5000 0.0510 0.4314  2 Co 2.42
Co: 0.0000 0.4831 0.7140  2 Co 2.42
Hg: 0.0000 0.9563 0.9481  1 Co 3.04, 6 Ho 3.04-3.35
Hg: 0.0000 0.4563 0.0519  1 Co 3.04, 6 Ho 3.04-3.35

Calculated values
Its calculated formation energy is -0.252 eV per atom. As for the crystal system: orthorhombic. For the raw total energy, the calculation gives -4.960 eV/atom. The volume is 22.0 A^3/atom. The size of the total moment comes out at 0.1 μB/f.u.